Here is crystalline Sm11In9Ni4 at its relaxed geometry from the Open Quantum Materials Database. Energies are from GGA-PBE.

The structure in CIF format:
```
data_Sm11In9Ni4
_space_group_name_H-M_alt 'C m m m'
_space_group_IT_number 65
_space_group_name_Hall '-C 2 2'
_cell_length_a 15.103
_cell_length_b 22.545
_cell_length_c 3.757
_cell_angle_alpha 90.00
_cell_angle_beta 90.00
_cell_angle_gamma 90.00
loop_
_atom_site_label
_atom_site_fract_x
_atom_site_fract_y
_atom_site_fract_z
Sm1 0.000 0.000 0.000
Sm2 0.000 0.162 0.000
Sm3 0.000 0.372 0.000
Sm4 0.186 0.500 0.000
Sm5 0.248 0.168 0.000
In1 0.000 0.500 0.500
In2 0.101 0.265 0.500
In3 0.152 0.070 0.500
Ni1 0.153 0.397 0.500
```

For the total energy, the calculation gives -4.61 eV per atom.

Here is crystalline HfCu2Te2Se at its relaxed geometry from the Open Quantum Materials Database. Energies are from GGA-PBE.

The structure in CIF format:
```
data_HfCu2Te2Se
_space_group_name_H-M_alt 'C 1 2/m 1'
_space_group_IT_number 12
_cell_length_a 20.295
_cell_length_b 4.018
_cell_length_c 7.238
_cell_angle_alpha 90.00
_cell_angle_beta 99.50
_cell_angle_gamma 90.00
loop_
_space_group_symop_operation_xyz
'x,y,z'
'-x,-y,-z'
'-x,y,-z'
'x,-y,z'
'x+1/2,y+1/2,z'
'-x+1/2,-y+1/2,-z'
'-x+1/2,y+1/2,-z'
'x+1/2,-y+1/2,z'
loop_
_atom_site_label
_atom_site_fract_x
_atom_site_fract_y
_atom_site_fract_z
Hf1 0.144 0.000 0.050
Cu1 0.050 0.500 0.151
Cu2 0.212 0.000 0.427
Te1 0.078 0.500 0.809
Te2 0.250 0.000 0.786
Se1 0.089 0.000 0.339
```

For the total energy, the calculation gives -5.09 eV per atom.

Here is crystalline Dy2Y3Lu2Ni2Te2 at its relaxed geometry from the Open Quantum Materials Database. Energies are from GGA-PBE.

The structure in CIF format:
```
data_Dy2Y3Lu2Ni2Te2
_space_group_name_H-M_alt 'I m m 2'
_space_group_IT_number 44
_cell_length_a 3.845
_cell_length_b 15.600
_cell_length_c 9.495
_cell_angle_alpha 90.00
_cell_angle_beta 90.00
_cell_angle_gamma 90.00
loop_
_space_group_symop_operation_xyz
'x,y,z'
'-x,-y,z'
'-x,y,z'
'x,-y,z'
'x+1/2,y+1/2,z+1/2'
'-x+1/2,-y+1/2,z+1/2'
'-x+1/2,y+1/2,z+1/2'
'x+1/2,-y+1/2,z+1/2'
loop_
_atom_site_label
_atom_site_fract_x
_atom_site_fract_y
_atom_site_fract_z
Dy1 0.000 0.147 0.000
Y1 0.000 0.184 0.354
Y2 0.000 0.500 0.732
Lu1 0.000 0.367 0.149
Ni1 0.000 0.259 0.658
Te1 0.000 0.000 0.500
Te2 0.000 0.500 0.391
```

For the total energy, the calculation gives -5.68 eV per atom.

Here are the calculated total magnetic moment numbers, same order: 0.02, 0.00, 0.01 (μB/f.u.).